Entry from the Alexandria database: NpTlTe4 after structural relaxation (PBE-GGA).

Summary:
Formation energy without anion corrections in kcal/mol of atoms: -9.2
DFT total energy in eV per atom: -5.0455

Lattice parameters (Å, degrees): 6.8188 6.8188 8.7635 90.00 90.00 90.00
Closest atoms and distances in Å follow each position.
Fractional positions:
Np 0.2500 0.2500 0.0000  8 Te 3.19
Np 0.7500 0.7500 0.0000  8 Te 3.19
Tl 0.2500 0.2500 0.5000  8 Te 3.63
Tl 0.7500 0.7500 0.5000  8 Te 3.63
Te 0.1008 0.6008 0.2111  1 Te 2.88, 2 Np 3.19
Te 0.1008 0.8992 0.7889  1 Te 2.88, 2 Np 3.19
Te 0.3992 0.6008 0.7889  1 Te 2.88, 2 Np 3.19
Te 0.3992 0.8992 0.2111  1 Te 2.88, 2 Np 3.19
Te 0.6008 0.1008 0.7889  1 Te 2.88, 2 Np 3.19
Te 0.6008 0.3992 0.2111  1 Te 2.88, 2 Np 3.19
Te 0.8992 0.1008 0.2111  1 Te 2.88, 2 Np 3.19
Te 0.8992 0.3992 0.7889  1 Te 2.88, 2 Np 3.19